The following is a PBE calculation of CsUHg2S6 after structural relaxation, from the Alexandria database.

The value obtained for the magnetic moment is 0.0 μB/f.u. The formation energy (no corrections) is -0.624 eV per atom.

```
data_CsUHg2S6
_chemical_formula_sum 'Cs1 U1 Hg2 S6'
_space_group_name_H-M_alt 'P 1'
_space_group_IT_number 1
_space_group_name_Hall 'P 1'
_cell_length_a 7.338
_cell_length_b 6.667
_cell_length_c 9.927
_cell_angle_alpha 60.49
_cell_angle_beta 62.53
_cell_angle_gamma 53.41
loop_
_atom_site_label
_atom_site_type_symbol
_atom_site_fract_x
_atom_site_fract_y
_atom_site_fract_z
U1 U 0.316 0.316 0.052
S1 S 0.039 0.399 0.902
S2 S 0.981 0.518 0.261
S3 S 0.321 0.738 0.846
S4 S 0.311 0.894 0.257
S5 S 0.593 0.233 0.201
S6 S 0.651 0.114 0.842
Hg1 Hg 0.971 0.979 0.031
Hg2 Hg 0.662 0.653 0.072
Cs1 Cs 0.816 0.816 0.552
```

The following is a PBE calculation of CsVHg2S4 after structural relaxation, from the Alexandria database.

The value obtained for the magnetic moment is 0.0 μB/f.u. The formation energy (no corrections) is -0.562 eV per atom.

```
data_CsVHg2S4
_chemical_formula_sum 'Cs1 V1 Hg2 S4'
_space_group_name_H-M_alt 'P 1'
_space_group_IT_number 1
_space_group_name_Hall 'P 1'
_cell_length_a 7.245
_cell_length_b 7.245
_cell_length_c 6.759
_cell_angle_alpha 122.40
_cell_angle_beta 122.40
_cell_angle_gamma 90.01
loop_
_atom_site_label
_atom_site_type_symbol
_atom_site_fract_x
_atom_site_fract_y
_atom_site_fract_z
S1 S 0.795 0.452 0.247
S2 S 0.161 0.161 0.682
S3 S 0.521 0.521 0.682
S4 S 0.452 0.795 0.247
V1 V 0.487 0.487 0.975
Hg1 Hg 0.796 0.296 0.592
Hg2 Hg 0.296 0.796 0.592
Cs1 Cs 0.991 0.991 0.982
```

The following is a PBE calculation of CsVHgS4 after structural relaxation, from the Alexandria database.

The value obtained for the magnetic moment is 0.0 μB/f.u. The formation energy (no corrections) is -0.713 eV per atom.

```
data_CsVHgS4
_chemical_formula_sum 'Cs2 V2 Hg2 S8'
_space_group_name_H-M_alt 'P 1'
_space_group_IT_number 1
_space_group_name_Hall 'P 1'
_cell_length_a 6.033
_cell_length_b 7.534
_cell_length_c 9.887
_cell_angle_alpha 90.00
_cell_angle_beta 107.72
_cell_angle_gamma 90.00
loop_
_atom_site_label
_atom_site_type_symbol
_atom_site_fract_x
_atom_site_fract_y
_atom_site_fract_z
S1 S 0.061 0.011 0.719
S2 S 0.939 0.511 0.281
S3 S 0.061 0.489 0.719
S4 S 0.726 0.250 0.892
S5 S 0.274 0.750 0.108
S6 S 0.939 0.989 0.281
S7 S 0.425 0.750 0.492
S8 S 0.575 0.250 0.508
Hg1 Hg 0.729 0.750 0.383
Hg2 Hg 0.271 0.250 0.617
Cs1 Cs 0.658 0.750 0.876
Cs2 Cs 0.342 0.250 0.124
V1 V 0.144 0.750 0.284
V2 V 0.856 0.250 0.716
```

The following is a PBE calculation of Cs2HgWS4 after structural relaxation, from the Alexandria database.

The value obtained for the magnetic moment is 0.0 μB/f.u. The formation energy (no corrections) is -0.796 eV per atom.

```
data_Cs2HgWS4
_chemical_formula_sum 'Cs4 Hg2 W2 S8'
_space_group_name_H-M_alt 'P 1'
_space_group_IT_number 1
_space_group_name_Hall 'P 1'
_cell_length_a 7.933
_cell_length_b 7.599
_cell_length_c 13.020
_cell_angle_alpha 80.85
_cell_angle_beta 72.26
_cell_angle_gamma 58.54
loop_
_atom_site_label
_atom_site_type_symbol
_atom_site_fract_x
_atom_site_fract_y
_atom_site_fract_z
S1 S 0.937 0.694 0.602
S2 S 0.381 0.806 0.102
S3 S 0.233 0.306 0.398
S4 S 0.369 0.694 0.398
S5 S 0.461 0.306 0.602
S6 S 0.517 0.194 0.102
S7 S 0.289 0.194 0.898
S8 S 0.813 0.806 0.898
W1 W 0.250 0.500 0.500
W2 W 0.500 0.000 0.000
Hg1 Hg 0.000 0.000 0.000
Hg2 Hg 0.750 0.500 0.500
Cs1 Cs 0.818 0.000 0.365
Cs2 Cs 0.568 0.500 0.865
Cs3 Cs 0.182 0.000 0.635
Cs4 Cs 0.932 0.500 0.135
```

The following is a PBE calculation of CsYHg2S after structural relaxation, from the Alexandria database.

The value obtained for the magnetic moment is 0.0 μB/f.u. The formation energy (no corrections) is -0.620 eV per atom.

```
data_CsYHg2S
_chemical_formula_sum 'Cs1 Y1 Hg2 S1'
_space_group_name_H-M_alt 'P 1'
_space_group_IT_number 1
_space_group_name_Hall 'P 1'
_cell_length_a 6.140
_cell_length_b 5.246
_cell_length_c 6.140
_cell_angle_alpha 90.00
_cell_angle_beta 90.00
_cell_angle_gamma 90.00
loop_
_atom_site_label
_atom_site_type_symbol
_atom_site_fract_x
_atom_site_fract_y
_atom_site_fract_z
S1 S 0.000 0.500 0.000
Y1 Y 0.000 0.000 0.000
Hg1 Hg 0.500 0.000 0.000
Hg2 Hg 0.000 0.000 0.500
Cs1 Cs 0.500 0.500 0.500
```

The following is a PBE calculation of Cs2Zn2HgS4 after structural relaxation, from the Alexandria database.

The value obtained for the magnetic moment is 0.0 μB/f.u. The formation energy (no corrections) is -0.788 eV per atom.

```
data_Cs2Zn2HgS4
_chemical_formula_sum 'Cs2 Zn2 Hg1 S4'
_space_group_name_H-M_alt 'P 1'
_space_group_IT_number 1
_space_group_name_Hall 'P 1'
_cell_length_a 3.974
_cell_length_b 7.787
_cell_length_c 8.707
_cell_angle_alpha 107.94
_cell_angle_beta 103.19
_cell_angle_gamma 90.00
loop_
_atom_site_label
_atom_site_type_symbol
_atom_site_fract_x
_atom_site_fract_y
_atom_site_fract_z
Zn1 Zn 0.323 0.008 0.646
Zn2 Zn 0.677 0.992 0.354
S1 S 0.220 0.171 0.439
S2 S 0.538 0.805 0.075
S3 S 0.780 0.829 0.561
S4 S 0.462 0.195 0.925
Cs1 Cs 0.875 0.475 0.750
Cs2 Cs 0.125 0.525 0.250
Hg1 Hg 0.000 0.000 0.000
```